The following is a GGA-PBE calculation of a geometry-optimized TaBe2CrBr structure, from Alexandria.

density	5.53	Mg/m³
uncorrected energy	-21.35	eV per formula unit
uncorrected formation energy	1850	meV per atom
D(E_F)	0.687	states/eV per atom
space group	No. 123

POSCAR file:
```
TaBe2CrBr
1.0
4.5221 0.0000 0.0000
0.0000 4.8576 0.0000
0.0000 0.0000 4.5221
Be Cr Ta Br
2 1 1 1
Direct
0.5000 0.0000 0.0000 Be
0.0000 0.0000 0.5000 Be
0.5000 0.5000 0.5000 Cr
0.0000 0.0000 0.0000 Ta
0.0000 0.5000 0.0000 Br
```